Entry from the Alexandria database: DyPuPd4 after structural relaxation (PBE-GGA).

Lattice parameters (Å, degrees): 3.9625 3.9635 8.5087 90.00 90.00 90.00
Last column: nearest neighbours and their distance in Å.
Sites, in units of the cell vectors:
1 Pd 0.5013 0.9973 0.7464  4 Pd 2.80, 2 Dy 2.90, 2 Pu 2.92
2 Pd 0.5013 0.9973 0.2499  4 Pd 2.80, 2 Dy 2.90, 2 Pu 2.92
3 Pd 0.0013 0.4973 0.2499  4 Pd 2.80, 2 Dy 2.90, 2 Pu 2.92
4 Pd 0.0013 0.4973 0.7463  4 Pd 2.80, 2 Dy 2.90, 2 Pu 2.92
5 Pu 0.5013 0.4972 0.9981  8 Pd 2.92
6 Dy 0.0013 0.9973 0.4981  8 Pd 2.90

Values from the calculation:
The calculation puts the offset from the most stable computed form at 160 meV per atom. The formation energy is -0.499 eV/atom. Its space-group type is P4/mmm, No. 123. The value obtained for the total magnetic moment is 5.20 μB/f.u.